# Dy4In12Pd | the Alexandria database | PBE | relaxed
# ΔE_f ... -410 meV/atom
# Fermi-level density of states ... 2.698 states/eV per cell
# V ... 414.5 Å³ per cell
data_Dy4In12Pd
_chemical_formula_sum 'Dy4 In12 Pd1'
_cell_length_a 8.135
_cell_length_b 8.135
_cell_length_c 8.135
_cell_angle_alpha 109.47
_cell_angle_beta 109.47
_cell_angle_gamma 109.47
_symmetry_space_group_name_H-M 'P 1'
_symmetry_Int_Tables_number 1
loop_
_symmetry_equiv_pos_as_xyz
'x,y,z'
loop_
_atom_site_label
_atom_site_type_symbol
_atom_site_fract_x
_atom_site_fract_y
_atom_site_fract_z
_atom_site_occupancy
Dy1 Dy 0.000 0.000 0.500 1
Dy2 Dy 0.000 0.500 0.000 1
Dy3 Dy 0.500 0.000 0.000 1
Dy4 Dy 0.500 0.500 0.500 1
In1 In 0.000 0.284 0.284 1
In2 In 0.000 0.716 0.716 1
In3 In 0.250 0.500 0.750 1
In4 In 0.250 0.750 0.500 1
In5 In 0.284 0.000 0.284 1
In6 In 0.284 0.284 0.000 1
In7 In 0.500 0.250 0.750 1
In8 In 0.500 0.750 0.250 1
In9 In 0.716 0.000 0.716 1
In10 In 0.716 0.716 0.000 1
In11 In 0.750 0.250 0.500 1
In12 In 0.750 0.500 0.250 1
Pd1 Pd 0.000 0.000 0.000 1

=====

# Tb7SmHo12 | the Alexandria database | PBE | relaxed
# ΔE_f ... 298 meV/atom
# Excess energy over the best structure of this formula in the dataset ... 0.00 eV/f.u.
# Fermi-level density of states ... 17.278 states/eV per cell
# V ... 640.4 Å³ per cell
data_Tb7SmHo12
_chemical_formula_sum 'Tb7 Sm1 Ho12'
_cell_length_a 8.657
_cell_length_b 8.657
_cell_length_c 8.657
_cell_angle_alpha 95.13
_cell_angle_beta 95.13
_cell_angle_gamma 95.13
_symmetry_space_group_name_H-M 'P 1'
_symmetry_Int_Tables_number 1
loop_
_symmetry_equiv_pos_as_xyz
'x,y,z'
loop_
_atom_site_label
_atom_site_type_symbol
_atom_site_fract_x
_atom_site_fract_y
_atom_site_fract_z
_atom_site_occupancy
Tb1 Tb 0.000 0.000 0.000 1
Tb2 Tb 0.147 0.481 0.417 1
Tb3 Tb 0.417 0.147 0.481 1
Tb4 Tb 0.481 0.417 0.147 1
Tb5 Tb 0.519 0.583 0.853 1
Tb6 Tb 0.583 0.853 0.519 1
Tb7 Tb 0.853 0.519 0.583 1
Sm1 Sm 0.500 0.500 0.500 1
Ho1 Ho 0.021 0.353 0.085 1
Ho2 Ho 0.085 0.021 0.353 1
Ho3 Ho 0.183 0.313 0.751 1
Ho4 Ho 0.249 0.817 0.687 1
Ho5 Ho 0.313 0.751 0.183 1
Ho6 Ho 0.353 0.085 0.021 1
Ho7 Ho 0.647 0.915 0.979 1
Ho8 Ho 0.687 0.249 0.817 1
Ho9 Ho 0.751 0.183 0.313 1
Ho10 Ho 0.817 0.687 0.249 1
Ho11 Ho 0.915 0.979 0.647 1
Ho12 Ho 0.979 0.647 0.915 1

=====

# V3SnH | the Alexandria database | PBE | relaxed
# VASP energy ... -67.264 eV per cell
# Fermi-level density of states ... 7.845 states/eV per cell
# V ... 134.0 Å³ per cell
data_V3SnH
_chemical_formula_sum 'V6 Sn2 H2'
_cell_length_a 5.524
_cell_length_b 5.524
_cell_length_c 5.160
_cell_angle_alpha 90.00
_cell_angle_beta 90.00
_cell_angle_gamma 121.63
_symmetry_space_group_name_H-M 'P 1'
_symmetry_Int_Tables_number 1
loop_
_symmetry_equiv_pos_as_xyz
'x,y,z'
loop_
_atom_site_label
_atom_site_type_symbol
_atom_site_fract_x
_atom_site_fract_y
_atom_site_fract_z
_atom_site_occupancy
V1 V 0.000 0.000 0.000 1
V2 V 0.000 0.000 0.500 1
V3 V 0.062 0.499 0.750 1
V4 V 0.499 0.062 0.250 1
V5 V 0.501 0.938 0.750 1
V6 V 0.938 0.501 0.250 1
Sn1 Sn 0.443 0.557 0.250 1
Sn2 Sn 0.557 0.443 0.750 1
H1 H 0.123 0.877 0.250 1
H2 H 0.877 0.123 0.750 1

=====

# PuThCdHg | the Alexandria database | PBE | relaxed
# ΔE_f ... -59 meV/atom
# Fermi-level density of states ... 10.196 states/eV per cell
# V ... 110.5 Å³ per cell
data_PuThCdHg
_chemical_formula_sum 'Pu1 Th1 Cd1 Hg1'
_cell_length_a 5.387
_cell_length_b 5.387
_cell_length_c 5.387
_cell_angle_alpha 60.00
_cell_angle_beta 60.00
_cell_angle_gamma 60.00
_symmetry_space_group_name_H-M 'P 1'
_symmetry_Int_Tables_number 1
loop_
_symmetry_equiv_pos_as_xyz
'x,y,z'
loop_
_atom_site_label
_atom_site_type_symbol
_atom_site_fract_x
_atom_site_fract_y
_atom_site_fract_z
_atom_site_occupancy
Pu1 Pu 0.000 0.000 0.000 1
Th1 Th 0.500 0.500 0.500 1
Cd1 Cd 0.250 0.250 0.250 1
Hg1 Hg 0.750 0.750 0.750 1

=====

# Sm2HoTmS4 | the Alexandria database | PBE | relaxed
# Fermi-level density of states ... 4.316 states/eV per cell
# V ... 172.6 Å³ per cell
# Uncorrected formation energy ... -1537 kJ/mol of formula units
data_Sm2HoTmS4
_chemical_formula_sum 'Sm2 Ho1 Tm1 S4'
_cell_length_a 6.771
_cell_length_b 3.883
_cell_length_c 6.933
_cell_angle_alpha 90.00
_cell_angle_beta 108.79
_cell_angle_gamma 90.00
_symmetry_space_group_name_H-M 'P 1'
_symmetry_Int_Tables_number 1
loop_
_symmetry_equiv_pos_as_xyz
'x,y,z'
loop_
_atom_site_label
_atom_site_type_symbol
_atom_site_fract_x
_atom_site_fract_y
_atom_site_fract_z
_atom_site_occupancy
Sm1 Sm 0.000 0.000 0.000 1
Sm2 Sm 0.500 0.500 0.000 1
Ho1 Ho 0.000 0.500 0.500 1
Tm1 Tm 0.500 0.000 0.500 1
S1 S 0.247 0.000 0.736 1
S2 S 0.257 0.500 0.265 1
S3 S 0.743 0.500 0.735 1
S4 S 0.753 0.000 0.264 1